Record 1
Density functional theory data (GGA-PBE) for a relaxed Er4MgZnRu2 crystal.

- Calculated formation energy: -0.32 eV per atom

a b c (Å): 8.541 8.541 8.541
angles (deg): 33.47 33.47 33.47
Element x y z (fractional)
1 Er 0.122 0.122 0.122
2 Er 0.373 0.373 0.373
3 Er 0.627 0.627 0.627
4 Er 0.878 0.878 0.878
5 Mg 0.500 0.500 0.500
6 Zn 0.000 0.000 0.000
7 Ru 0.248 0.248 0.248
8 Ru 0.752 0.752 0.752



Record 2
Density functional theory data (GGA-PBE) for a relaxed Mg2CrIn crystal.

- Calculated formation energy: 0.15 eV per atom

a b c (Å): 5.131 5.131 5.131
angles (deg): 128.60 128.60 75.65
Element x y z (fractional)
1 Mg 0.000 0.000 0.000
2 Mg 0.750 0.250 0.500
3 Cr 0.500 0.500 0.000
4 In 0.250 0.750 0.500



Record 3
Density functional theory data (GGA-PBE) for a relaxed Pm3Tl3Hg2 crystal.

- Calculated formation energy: -0.35 eV per atom

a b c (Å): 9.865 9.865 5.101
angles (deg): 104.90 104.90 27.53
Element x y z (fractional)
1 Pm 0.000 0.000 0.000
2 Pm 0.142 0.142 0.644
3 Pm 0.858 0.858 0.356
4 Tl 0.373 0.373 0.873
5 Tl 0.500 0.500 0.500
6 Tl 0.627 0.627 0.127
7 Hg 0.245 0.245 0.246
8 Hg 0.755 0.755 0.754



Record 4
Density functional theory data (GGA-PBE) for a relaxed TcSbTe2O crystal.

- Formation energy (no corrections): 837 meV/atom

a b c (Å): 5.086 5.086 5.233
angles (deg): 90.00 90.00 90.00
Element x y z (fractional)
1 Tc 0.000 0.000 0.000
2 Sb 0.000 0.000 0.500
3 Te 0.000 0.500 0.000
4 Te 0.500 0.000 0.000
5 O 0.500 0.500 0.500



Record 5
Density functional theory data (GGA-PBE) for a relaxed PmTlAgBi crystal.

- Calculated formation energy: -0.18 eV per atom

a b c (Å): 5.380 5.380 5.380
angles (deg): 60.00 60.00 60.00
Element x y z (fractional)
1 Pm 0.000 0.000 0.000
2 Tl 0.250 0.250 0.250
3 Ag 0.750 0.750 0.750
4 Bi 0.500 0.500 0.500



Record 6
Density functional theory data (GGA-PBE) for a relaxed NaBe3As3 crystal.

- Calculated formation energy: -0.06 eV per atom

a b c (Å): 6.397 6.397 6.397
angles (deg): 90.00 90.00 90.00
Element x y z (fractional)
1 Na 0.000 0.000 0.000
2 Na 0.500 0.500 0.500
3 Be 0.000 0.250 0.500
4 Be 0.000 0.750 0.500
5 Be 0.250 0.500 0.000
6 Be 0.500 0.000 0.250
7 Be 0.500 0.000 0.750
8 Be 0.750 0.500 0.000
9 As 0.000 0.500 0.250
10 As 0.000 0.500 0.750
11 As 0.250 0.000 0.500
12 As 0.500 0.250 0.000
13 As 0.500 0.750 0.000
14 As 0.750 0.000 0.500



Record 7
Density functional theory data (GGA-PBE) for a relaxed YCrBr crystal.

- Formation energy (no corrections): -129 meV/atom

a b c (Å): 3.664 3.664 6.913
angles (deg): 90.00 90.00 120.00
Element x y z (fractional)
1 Y 0.000 0.000 0.000
2 Cr 0.667 0.333 0.684
3 Br 0.333 0.667 0.299



Record 8
Density functional theory data (GGA-PBE) for a relaxed PaZnNiAu crystal.

- Calculated formation energy: -0.22 eV per atom

a b c (Å): 4.718 4.718 4.718
angles (deg): 60.00 60.00 60.00
Element x y z (fractional)
1 Pa 0.000 0.000 0.000
2 Zn 0.500 0.500 0.500
3 Ni 0.750 0.750 0.750
4 Au 0.250 0.250 0.250



Record 9
Density functional theory data (GGA-PBE) for a relaxed Be2CuW crystal.

- Calculated formation energy: 0.48 eV per atom

a b c (Å): 4.036 4.036 4.036
angles (deg): 60.00 60.00 60.00
Element x y z (fractional)
1 Be 0.000 0.000 0.000
2 Be 0.250 0.250 0.250
3 Cu 0.750 0.750 0.750
4 W 0.500 0.500 0.500



Record 10
Density functional theory data (GGA-PBE) for a relaxed Mn2TlSnSe crystal.

- Formation energy (no corrections): 1410 meV/atom

a b c (Å): 5.963 5.963 6.649
angles (deg): 90.00 90.00 90.00
Element x y z (fractional)
1 Mn 0.000 0.500 0.000
2 Mn 0.500 0.000 0.000
3 Tl 0.000 0.000 0.000
4 Sn 0.000 0.000 0.500
5 Se 0.500 0.500 0.500



no.,total magnetic moment (μB/f.u.)
1,0.000
2,3.847
3,0.000
4,0.000
5,0.000
6,0.000
7,4.007
8,0.000
9,0.670
10,9.696